a) A relaxed structure of LiMnC2O6. Source: Alexandria, functional PBE+U.

Output
Total magnetic moment = 4.0 μB/cell
Calculated volume = 100 Å³/cell
Crystal system = trigonal
Space group = No. 148

Unit cell a=5.8310 b=5.8310 c=5.8310 alpha=47.81 beta=47.81 gamma=47.81
Last column: nearest neighbours and their distance in Å.
Sites, in units of the cell vectors:
Li: 0.0000 0.0000 0.0000  6 O 2.20
Mn: 0.5000 0.5000 0.5000  6 O 2.12
C: 0.7538 0.7538 0.7538  3 O 1.29
C: 0.2462 0.2462 0.2462  3 O 1.29
O: 0.9706 0.2505 0.5179  1 C 1.29
O: 0.4821 0.0294 0.7495  1 C 1.29
O: 0.7495 0.4821 0.0294  1 C 1.29
O: 0.2505 0.5179 0.9706  1 C 1.29
O: 0.5179 0.9706 0.2505  1 C 1.29
O: 0.0294 0.7495 0.4821  1 C 1.29

b) A relaxed structure of LiMnC2O6. Source: Alexandria, functional PBE+U.

Output
Total magnetic moment = 16.0 μB/cell
Calculated volume = 580 Å³/cell
Crystal system = monoclinic
Space group = No. 14

Unit cell a=9.8806 b=7.7948 c=9.1091 alpha=55.83 beta=90.00 gamma=90.00
Last column: nearest neighbours and their distance in Å.
Sites, in units of the cell vectors:
Li: 0.3850 0.3387 0.1645  3 O 1.87-2.03
Li: 0.1150 0.3387 0.6645  3 O 1.87-2.03
Li: 0.8850 0.6613 0.3355  3 O 1.87-2.03
Li: 0.6150 0.6613 0.8355  3 O 1.87-2.03
Mn: 0.1253 0.4583 0.9537  5 O 1.92-2.09
Mn: 0.6253 0.5417 0.5463  5 O 1.92-2.09
Mn: 0.3747 0.4583 0.4537  5 O 1.92-2.09
Mn: 0.8747 0.5417 0.0463  5 O 1.92-2.09
C: 0.3872 0.4661 0.7790  3 O 1.29-1.30
C: 0.8872 0.5339 0.7210  3 O 1.29-1.30
C: 0.9960 0.1049 0.1577  3 O 1.24-1.33
C: 0.4960 0.8951 0.3423  3 O 1.24-1.33
C: 0.5040 0.1049 0.6577  3 O 1.24-1.33
C: 0.0040 0.8951 0.8423  3 O 1.24-1.33
C: 0.1128 0.4661 0.2790  3 O 1.29-1.30
C: 0.6128 0.5339 0.2210  3 O 1.29-1.30
O: 0.3334 0.4670 0.9074  1 C 1.29
O: 0.0151 0.4872 0.7533  1 C 1.30
O: 0.8142 0.5789 0.8134  1 C 1.30
O: 0.3142 0.4211 0.6866  1 C 1.30
O: 0.5151 0.5128 0.7467  1 C 1.30
O: 0.8334 0.5330 0.5926  1 C 1.29
O: 0.4629 0.0803 0.2517  1 C 1.24
O: 0.1146 0.1632 0.0748  1 C 1.33
O: 0.9181 0.2531 0.1384  1 C 1.32
O: 0.4181 0.7469 0.3616  1 C 1.32
O: 0.6146 0.8368 0.4252  1 C 1.33
O: 0.0371 0.0803 0.7517  1 C 1.24
O: 0.9629 0.9197 0.2483  1 C 1.24
O: 0.3854 0.1632 0.5748  1 C 1.33
O: 0.5819 0.2531 0.6384  1 C 1.32
O: 0.0819 0.7469 0.8616  1 C 1.32
O: 0.8854 0.8368 0.9252  1 C 1.33
O: 0.5371 0.9197 0.7483  1 C 1.24
O: 0.1666 0.4670 0.4074  1 C 1.29
O: 0.4849 0.4872 0.2533  1 C 1.30
O: 0.6858 0.5789 0.3134  1 C 1.30
O: 0.1858 0.4211 0.1866  1 C 1.30
O: 0.9849 0.5128 0.2467  1 C 1.30
O: 0.6666 0.5330 0.0926  1 C 1.29

c) A relaxed structure of LiMnC2O6. Source: Alexandria, functional PBE+U.

Output
Total magnetic moment = 16.0 μB/cell
Calculated volume = 393 Å³/cell
Crystal system = triclinic
Space group = No. 2

Unit cell a=7.4639 b=8.0391 c=7.4500 alpha=110.53 beta=100.63 gamma=70.16
Last column: nearest neighbours and their distance in Å.
Sites, in units of the cell vectors:
Li: 0.5005 0.9998 0.5000  6 O 2.22-2.34
Li: 0.7501 0.5000 0.7500  6 O 2.11-2.25
Li: 0.0003 0.9999 0.9999  6 O 2.22-2.33
Li: 0.2501 0.5000 0.2500  6 O 2.11-2.25
Mn: 0.2500 0.5000 0.7499  6 O 1.98-2.21
Mn: 0.5000 0.0000 0.0000  6 O 1.98-2.21
Mn: 0.7499 0.5000 0.2500  6 O 1.98-2.21
Mn: 0.0000 0.0000 0.5000  6 O 1.98-2.21
C: 0.3922 0.7434 0.1253  3 O 1.27-1.31
C: 0.6297 0.2486 0.3652  3 O 1.27-1.31
C: 0.8922 0.7434 0.6253  3 O 1.27-1.31
C: 0.1297 0.2485 0.8651  3 O 1.27-1.31
C: 0.1076 0.2566 0.3747  3 O 1.27-1.31
C: 0.3703 0.7515 0.6349  3 O 1.27-1.31
C: 0.6077 0.2566 0.8747  3 O 1.27-1.31
C: 0.8703 0.7514 0.1349  3 O 1.27-1.31
O: 0.4646 0.2614 0.7442  1 C 1.30
O: 0.7485 0.7513 0.9906  1 C 1.27
O: 0.9645 0.2615 0.2442  1 C 1.30
O: 0.2486 0.7513 0.4906  1 C 1.27
O: 0.0697 0.3871 0.7936  1 C 1.31
O: 0.3293 0.8868 0.0605  1 C 1.31
O: 0.5697 0.3872 0.2937  1 C 1.31
O: 0.8293 0.8868 0.5605  1 C 1.31
O: 0.3098 0.6167 0.0629  1 C 1.27
O: 0.5568 0.1107 0.2874  1 C 1.31
O: 0.8097 0.6168 0.5629  1 C 1.27
O: 0.0568 0.1107 0.7873  1 C 1.31
O: 0.1901 0.3833 0.4370  1 C 1.27
O: 0.4433 0.8893 0.7127  1 C 1.31
O: 0.6901 0.3833 0.9370  1 C 1.27
O: 0.9433 0.8893 0.2126  1 C 1.31
O: 0.4303 0.6129 0.7065  1 C 1.31
O: 0.6706 0.1133 0.9396  1 C 1.31
O: 0.9302 0.6129 0.2064  1 C 1.31
O: 0.1706 0.1133 0.4395  1 C 1.31
O: 0.0354 0.7385 0.7557  1 C 1.30
O: 0.2515 0.2487 0.0094  1 C 1.27
O: 0.5354 0.7385 0.2557  1 C 1.30
O: 0.7515 0.2487 0.5094  1 C 1.27

In meV per atom, relative to the most stable structure: a) 16; b) 41; c) 0.